Entry 1:
{
  "formula": "MnHgAu4",
  "functional": "PBE",
  "state": "relaxed",
  "magmom_total_mub_per_fu": 4.64,
  "e_form_ev_per_atom": 0.16,
  "polymorph_energy_mev_per_atom": 163,
  "cell": [[0.000, 3.909, 3.909], [3.909, 0.000, 3.909], [3.909, 3.909, 0.000]],
  "species": ["Mn", "Hg", "Au", "Au", "Au", "Au"],
  "fractional_positions": [[0.000, 0.000, 0.000], [0.250, 0.250, 0.250], [0.124, 0.625, 0.625], [0.625, 0.124, 0.625], [0.625, 0.625, 0.124], [0.625, 0.625, 0.625]]
}

Entry 2:
{
  "formula": "Pm2TiP3Rh4",
  "functional": "PBE",
  "state": "relaxed",
  "magmom_total_mub_per_fu": 0.00,
  "e_form_ev_per_atom": -1.09,
  "cell": [[4.021, 0.000, 0.000], [0.000, 4.021, 0.000], [0.000, 0.000, 10.486]],
  "species": ["Pm", "Pm", "Ti", "P", "P", "P", "Rh", "Rh", "Rh", "Rh"],
  "fractional_positions": [[0.000, 0.500, 0.235], [0.500, 0.000, 0.765], [0.000, 0.000, 0.500], [0.000, 0.500, 0.864], [0.500, 0.000, 0.136], [0.500, 0.500, 0.500], [0.000, 0.000, 0.000], [0.000, 0.500, 0.639], [0.500, 0.000, 0.361], [0.500, 0.500, 0.000]]
}

Entry 3:
{
  "formula": "Ba2TaRu",
  "functional": "PBE",
  "state": "relaxed",
  "magmom_total_mub_per_fu": 1.27,
  "e_form_ev_per_atom": 1.19,
  "polymorph_energy_mev_per_atom": 931,
  "cell": [[-2.658, 2.658, 3.747], [2.658, -2.658, 3.747], [2.658, 2.658, -3.747]],
  "species": ["Ba", "Ba", "Ta", "Ru"],
  "fractional_positions": [[0.000, 0.000, 0.000], [0.750, 0.250, 0.500], [0.250, 0.750, 0.500], [0.500, 0.500, 0.000]]
}

Entry 4:
{
  "formula": "BaAl3",
  "functional": "PBE",
  "state": "relaxed",
  "magmom_total_mub_per_fu": 0.00,
  "e_form_ev_per_atom": 0.31,
  "cell": [[3.242, -4.995, 0.000], [3.242, 4.995, 0.000], [0.000, 0.000, 3.124]],
  "species": ["Ba", "Al", "Al", "Al"],
  "fractional_positions": [[0.000, 0.000, 0.000], [0.000, 0.500, 0.500], [0.500, 0.000, 0.500], [0.500, 0.500, 0.000]]
}

Entry 5:
{
  "formula": "AgB2PdAu",
  "functional": "PBE",
  "state": "relaxed",
  "magmom_total_mub_per_fu": 0.00,
  "e_form_ev_per_atom": 0.19,
  "polymorph_energy_mev_per_atom": 5,
  "cell": [[2.865, 0.000, 0.000], [-1.424, 2.783, 0.000], [-1.229, -0.994, 8.411]],
  "species": ["Ag", "B", "B", "Pd", "Au"],
  "fractional_positions": [[0.000, 0.000, 0.000], [0.096, 0.700, 0.521], [0.831, 0.110, 0.530], [0.510, 0.291, 0.730], [0.496, 0.729, 0.276]]
}

Entry 6:
{
  "formula": "LiAl4Zn2",
  "functional": "PBE",
  "state": "relaxed",
  "magmom_total_mub_per_fu": 0.00,
  "e_form_ev_per_atom": 0.02,
  "polymorph_energy_mev_per_atom": 0,
  "cell": [[7.922, 0.000, 0.000], [0.000, 7.922, 0.000], [0.000, 0.000, 4.001]],
  "species": ["Li", "Li", "Al", "Al", "Al", "Al", "Al", "Al", "Al", "Al", "Zn", "Zn", "Zn", "Zn"],
  "fractional_positions": [[0.000, 0.000, 0.000], [0.500, 0.500, 0.500], [0.095, 0.344, 0.500], [0.156, 0.595, 0.000], [0.344, 0.095, 0.500], [0.405, 0.844, 0.000], [0.595, 0.156, 0.000], [0.656, 0.905, 0.500], [0.844, 0.405, 0.000], [0.905, 0.656, 0.500], [0.189, 0.811, 0.500], [0.311, 0.311, 0.000], [0.689, 0.689, 0.000], [0.811, 0.189, 0.500]]
}

Entry 7:
{
  "formula": "DyNi2B4",
  "functional": "PBE",
  "state": "relaxed",
  "magmom_total_mub_per_fu": 0.00,
  "e_form_ev_per_atom": -0.32,
  "cell": [[-1.557, 1.661, 6.866], [1.557, -1.661, 6.866], [1.557, 1.661, -6.866]],
  "species": ["Dy", "Ni", "Ni", "B", "B", "B", "B"],
  "fractional_positions": [[0.000, 0.000, 0.000], [0.198, 0.698, 0.500], [0.802, 0.302, 0.500], [0.348, 0.848, 0.500], [0.393, 0.393, 0.000], [0.607, 0.607, 0.000], [0.652, 0.152, 0.500]]
}

Entry 8:
{
  "formula": "Cs2SrLiF6",
  "functional": "PBE",
  "state": "relaxed",
  "magmom_total_mub_per_fu": 1.09,
  "polymorph_energy_mev_per_atom": 0,
  "cell": [[4.735, 0.000, 0.000], [0.000, 4.735, 0.000], [0.000, 0.000, 8.763]],
  "species": ["Cs", "Cs", "Sr", "Li", "F", "F", "F", "F", "F", "F"],
  "fractional_positions": [[0.000, 0.000, 0.227], [0.000, 0.000, 0.773], [0.500, 0.500, 0.500], [0.500, 0.500, 0.000], [0.000, 0.500, 0.000], [0.000, 0.500, 0.500], [0.500, 0.000, 0.000], [0.500, 0.000, 0.500], [0.500, 0.500, 0.218], [0.500, 0.500, 0.782]]
}

Entry 9:
{
  "formula": "TlPdPtO4",
  "functional": "PBE",
  "state": "relaxed",
  "magmom_total_mub_per_fu": 0.00,
  "energy_ev_per_atom": -5.14,
  "cell": [[-3.066, 3.176, 5.298], [3.066, -3.176, 5.298], [3.066, 3.176, -5.298]],
  "species": ["Tl", "Tl", "Pd", "Pd", "Pt", "Pt", "O", "O", "O", "O", "O", "O", "O", "O"],
  "fractional_positions": [[0.403, 0.153, 0.250], [0.597, 0.847, 0.750], [0.000, 0.500, 0.500], [0.500, 0.500, 0.000], [0.000, 0.000, 0.500], [0.000, 0.500, 0.000], [0.144, 0.698, 0.447], [0.249, 0.302, 0.947], [0.269, 0.309, 0.540], [0.269, 0.728, 0.960], [0.731, 0.272, 0.040], [0.731, 0.691, 0.460], [0.751, 0.698, 0.053], [0.856, 0.302, 0.553]]
}

Entry 10:
{
  "formula": "Be3VPt",
  "functional": "PBE",
  "state": "relaxed",
  "magmom_total_mub_per_fu": 3.26,
  "e_form_ev_per_atom": 0.35,
  "polymorph_energy_mev_per_atom": 0,
  "cell": [[4.199, 0.000, 0.000], [0.000, 4.199, 0.000], [0.000, 0.000, 4.199]],
  "species": ["Be", "Be", "Be", "V", "Pt"],
  "fractional_positions": [[0.000, 0.000, 0.500], [0.000, 0.500, 0.000], [0.500, 0.000, 0.000], [0.500, 0.500, 0.500], [0.000, 0.000, 0.000]]
}

Entry 11:
{
  "formula": "FeSiS2N",
  "functional": "PBE",
  "state": "relaxed",
  "magmom_total_mub_per_fu": 0.54,
  "polymorph_energy_mev_per_atom": 0,
  "cell": [[4.638, 0.000, 0.000], [0.000, 4.638, 0.000], [0.000, 0.000, 3.403]],
  "species": ["Fe", "Si", "S", "S", "N"],
  "fractional_positions": [[0.000, 0.000, 0.000], [0.500, 0.500, 0.500], [0.000, 0.500, 0.000], [0.500, 0.000, 0.000], [0.000, 0.000, 0.500]]
}

Entry 12:
{
  "formula": "ScGa2Cu",
  "functional": "PBE",
  "state": "relaxed",
  "magmom_total_mub_per_fu": 0.00,
  "e_form_ev_per_atom": -0.41,
  "cell": [[4.038, 0.000, 0.000], [0.000, 4.038, 0.000], [0.000, 0.000, 4.001]],
  "species": ["Sc", "Ga", "Ga", "Cu"],
  "fractional_positions": [[0.000, 0.000, 0.000], [0.000, 0.500, 0.500], [0.500, 0.000, 0.500], [0.500, 0.500, 0.000]]
}

Entry 13:
{
  "formula": "LaZrSn2Te",
  "functional": "PBE",
  "state": "relaxed",
  "magmom_total_mub_per_fu": 0.23,
  "energy_ev_per_atom": -4.08,
  "cell": [[5.831, 0.000, 0.000], [0.000, 5.831, 0.000], [0.000, 0.000, 5.875]],
  "species": ["La", "Zr", "Sn", "Sn", "Te"],
  "fractional_positions": [[0.000, 0.000, 0.000], [0.500, 0.500, 0.500], [0.000, 0.500, 0.000], [0.500, 0.000, 0.000], [0.000, 0.000, 0.500]]
}

Entry 14:
{
  "formula": "Al2InIr4",
  "functional": "PBE",
  "state": "relaxed",
  "magmom_total_mub_per_fu": 0.96,
  "e_form_ev_per_atom": 1.13,
  "cell": [[-2.382, 2.382, 6.317], [2.382, -2.382, 6.317], [2.382, 2.382, -6.317]],
  "species": ["Al", "Al", "In", "Ir", "Ir", "Ir", "Ir"],
  "fractional_positions": [[0.105, 0.105, 0.000], [0.895, 0.895, 0.000], [0.500, 0.500, 0.000], [0.000, 0.500, 0.500], [0.289, 0.289, 0.000], [0.500, 0.000, 0.500], [0.711, 0.711, 0.000]]
}

Entry 15:
{
  "formula": "Ce3PmDy4P8",
  "functional": "PBE",
  "state": "relaxed",
  "magmom_total_mub_per_fu": 1.44,
  "e_form_ev_per_atom": -1.57,
  "cell": [[4.054, 2.340, 6.604], [-4.054, 2.340, 6.604], [0.000, -4.681, 6.604]],
  "species": ["Ce", "Ce", "Ce", "Pm", "Dy", "Dy", "Dy", "Dy", "P", "P", "P", "P", "P", "P", "P", "P"],
  "fractional_positions": [[0.000, 0.500, 0.500], [0.500, 0.000, 0.500], [0.500, 0.500, 0.000], [0.000, 0.000, 0.000], [0.000, 0.000, 0.500], [0.000, 0.500, 0.000], [0.500, 0.000, 0.000], [0.500, 0.500, 0.500], [0.249, 0.249, 0.249], [0.251, 0.747, 0.747], [0.253, 0.253, 0.749], [0.253, 0.749, 0.253], [0.747, 0.251, 0.747], [0.747, 0.747, 0.251], [0.749, 0.253, 0.253], [0.751, 0.751, 0.751]]
}

Entry 16:
{
  "formula": "Cs3SeO6",
  "functional": "PBE",
  "state": "relaxed",
  "magmom_total_mub_per_fu": 3.16,
  "energy_ev_per_atom": -4.49,
  "cell": [[5.834, -3.368, 0.000], [5.834, 3.368, 0.000], [-3.889, 0.000, 5.500]],
  "species": ["Cs", "Cs", "Cs", "Se", "O", "O", "O", "O", "O", "O"],
  "fractional_positions": [[0.000, 0.000, 0.000], [0.250, 0.250, 0.750], [0.750, 0.750, 0.250], [0.500, 0.500, 0.500], [0.311, 0.687, 0.311], [0.312, 0.312, 0.314], [0.313, 0.689, 0.689], [0.687, 0.311, 0.311], [0.688, 0.688, 0.686], [0.689, 0.313, 0.689]]
}

Entry 17:
{
  "formula": "Tm6ThTl",
  "functional": "PBE",
  "state": "relaxed",
  "magmom_total_mub_per_fu": 0.00,
  "e_form_ev_per_atom": -0.05,
  "cell": [[4.881, 0.000, 0.000], [0.000, 4.881, 0.000], [0.000, 0.000, 9.828]],
  "species": ["Tm", "Tm", "Tm", "Tm", "Tm", "Tm", "Th", "Tl"],
  "fractional_positions": [[0.000, 0.000, 0.000], [0.000, 0.000, 0.500], [0.000, 0.500, 0.247], [0.000, 0.500, 0.753], [0.500, 0.000, 0.247], [0.500, 0.000, 0.753], [0.500, 0.500, 0.500], [0.500, 0.500, 0.000]]
}

Entry 18:
{
  "formula": "ScCdOs",
  "functional": "PBE",
  "state": "relaxed",
  "magmom_total_mub_per_fu": 0.00,
  "e_form_ev_per_atom": 0.14,
  "polymorph_energy_mev_per_atom": 166,
  "cell": [[3.100, 0.000, 0.000], [-1.550, 2.685, 0.000], [0.000, 0.000, 6.874]],
  "species": ["Sc", "Cd", "Os"],
  "fractional_positions": [[0.000, 0.000, 0.000], [0.333, 0.667, 0.384], [0.667, 0.333, 0.722]]
}

Entry 19:
{
  "formula": "CuNi",
  "functional": "PBE",
  "state": "relaxed",
  "magmom_total_mub_per_fu": 0.27,
  "e_form_ev_per_atom": 0.09,
  "cell": [[0.000, 2.835, 2.835], [2.835, 0.000, 2.835], [2.835, 2.835, 0.000]],
  "species": ["Cu", "Cu", "Ni", "Ni"],
  "fractional_positions": [[0.125, 0.125, 0.125], [0.875, 0.875, 0.875], [0.375, 0.375, 0.375], [0.625, 0.625, 0.625]]
}

Entry 20:
{
  "formula": "Ba2AcO",
  "functional": "PBE",
  "state": "relaxed",
  "magmom_total_mub_per_fu": 0.00,
  "energy_ev_per_atom": -4.26,
  "cell": [[1.976, 1.141, 11.041], [-1.976, 1.141, 11.041], [0.000, -2.282, 11.041]],
  "species": ["Ba", "Ba", "Ac", "O"],
  "fractional_positions": [[0.120, 0.120, 0.120], [0.880, 0.880, 0.880], [0.000, 0.000, 0.000], [0.500, 0.500, 0.500]]
}